Record 1
Material: ThMgBeN3
Method: DFT, PBE
State: optimized geometry

abc: 6.6682 3.3175 6.8396
angles: 90.00 103.74 90.00
Closest atoms and distances in Å follow each position.
Space group P2_1/m (No. 11)
Symmetry-distinct sites (fractional):
Th: 0.1974 0.2500 0.2268 [2 per cell]  5 N 2.33-2.54
Mg: 0.3425 0.7500 0.8429 [2 per cell]  6 N 2.17-2.35
Be: 0.0866 0.2500 0.6094 [2 per cell]  4 N 1.69-1.86
N: 0.0982 0.2500 0.8588 [2 per cell]  1 Be 1.69
N: 0.1662 0.7500 0.5322 [2 per cell]  3 Be 1.73-1.86
N: 0.4243 0.7500 0.1721 [2 per cell]  3 Mg 2.19-2.29, 2 Th 2.33

Properties
E_form (uncorrected): -0.892 eV per atom

Record 2
Material: Mg2BeVN4
Method: DFT, PBE
State: optimized geometry

abc: 6.4098 5.6444 4.9449
angles: 90.00 90.00 90.00
Closest atoms and distances in Å follow each position.
Space group Pmn2_1 (No. 31)
Symmetry-distinct sites (fractional):
Mg: 0.2501 0.1758 0.0000 [4 per cell]  4 N 2.04-2.17
Be: 0.0000 0.3410 0.5173 [2 per cell]  4 N 1.72-1.85
V: 0.0000 0.6542 0.0112 [2 per cell]  4 N 1.78-1.86
N: 0.0000 0.3649 0.8658 [2 per cell]  1 Be 1.73, 1 V 1.78
N: 0.0000 0.6177 0.3702 [2 per cell]  1 Be 1.72, 1 V 1.79
N: 0.2493 0.1920 0.4391 [4 per cell]  1 Be 1.85, 1 V 1.86

Properties
E_form (uncorrected): -0.693 eV per atom

Record 3
Material: Mg2BeWN4
Method: DFT, PBE
State: optimized geometry

abc: 6.4018 5.7392 5.0897
angles: 90.00 90.00 90.00
Closest atoms and distances in Å follow each position.
Space group Pmn2_1 (No. 31)
Symmetry-distinct sites (fractional):
Mg: 0.2495 0.1702 0.0000 [4 per cell]  4 N 2.06-2.13
Be: 0.0000 0.3370 0.5150 [2 per cell]  4 N 1.76-1.86
W: 0.0000 0.6548 0.0092 [2 per cell]  4 N 1.87-1.91
N: 0.0000 0.3583 0.8592 [2 per cell]  1 Be 1.76, 1 W 1.87
N: 0.0000 0.6229 0.3744 [2 per cell]  1 Be 1.79, 1 W 1.87
N: 0.2470 0.1878 0.4189 [4 per cell]  1 Be 1.86, 1 W 1.91

Properties
E_form (uncorrected): -0.823 eV per atom